Below is an optimized crystal structure of CrI3O, with properties calculated at the PBE+U level.

Cell: 5.1383 5.1383 5.1383 Å, 90.00 90.00 90.00°
With the nearest neighbours (Å) after each atom.
Atoms (fractional coordinates):
I1 0.5000 0.0000 0.0000  2 O 2.57
I2 0.0000 0.5000 0.0000  2 O 2.57
I3 0.0000 0.0000 0.5000  2 O 2.57
Cr1 0.5000 0.5000 0.5000  12 I 3.63
O1 0.0000 0.0000 0.0000  6 I 2.57

Calculated values
The density of states at the Fermi level is 3.519 states/eV per cell. For the total magnetic moment, the calculation gives 1.40 μB/cell. Its density is 5.49 g cm⁻³. The offset from the most stable computed form is 432 meV per atom.